# KHfMnS4

A relaxed KHfMnS4 crystal (GGA-PBE, the Alexandria database).

Summary:
Formation energy without anion corrections, eV/atom: -1.0788
SG: No. 11

extended XYZ file:
```
14
Lattice="6.360 0.000 0.000 0.000 6.703 0.000 -1.262 0.000 8.054" Properties=species:S:1:pos:R:3 pbc="T T T"
K 1.123 1.676 0.497
K 3.974 5.027 7.556
Hf 0.480 5.027 3.621
Hf 4.617 1.676 4.433
Mn 1.488 1.676 5.294
Mn 3.609 5.027 2.760
S -0.111 0.020 5.550
S -0.111 3.331 5.550
S 1.768 5.027 1.458
S 2.392 1.676 3.288
S 2.706 5.027 4.766
S 3.329 1.676 6.595
S 5.209 3.372 2.504
S 5.209 6.683 2.504
```

=====

# K3Hf3MnSe8

A relaxed K3Hf3MnSe8 crystal (GGA-PBE, the Alexandria database).

Summary:
Formation energy without anion corrections, eV/atom: -1.2203
SG: No. 12

extended XYZ file:
```
15
Lattice="6.726 -3.886 0.000 6.726 3.886 0.000 -4.482 0.000 7.825" Properties=species:S:1:pos:R:3 pbc="T T T"
K 0.000 0.000 0.000
K 3.363 1.943 0.000
K 3.363 -1.943 0.000
Hf 1.122 1.943 3.912
Hf 1.122 -1.943 3.912
Hf 4.485 0.000 3.912
Mn -2.241 0.000 3.912
Se 0.039 0.000 5.427
Se 3.345 1.910 5.429
Se 2.242 0.000 2.353
Se 5.624 1.910 2.396
Se 3.345 -1.910 5.429
Se 6.727 0.000 5.471
Se 5.624 -1.910 2.396
Se 8.930 0.000 2.397
```

=====

| no. | total energy (eV for the cell shown) |
| --- | --- |
| 1 | -88.56 |
| 2 | -88.50 |